(1)
Computed, not measured: an optimized crystal structure of CuSeI at the GGA-PBE level of DFT.

POSCAR file:
```
CuSeI
1.0
3.5739 -2.0192 0.0000
3.5739 2.0192 0.0000
-1.6895 0.0000 5.7321
Cu Se I
1 1 1
direct
0.0000 0.0000 0.0000
0.3126 0.3126 0.9214
0.2490 0.2490 0.4303
```


(2)
Computed, not measured: an optimized crystal structure of Cu3Se12I5 at the GGA-PBE level of DFT.

POSCAR file:
```
Cu3Se12I5
1.0
-9.1212 9.1212 9.1212
9.1212 -9.1212 9.1212
9.1212 9.1212 -9.1212
Cu Se I
12 48 20
direct
0.1250 0.2500 0.3750
0.1250 0.3750 0.7500
0.2500 0.3750 0.1250
0.2500 0.8750 0.6250
0.3750 0.1250 0.2500
0.3750 0.7500 0.1250
0.6250 0.2500 0.8750
0.6250 0.8750 0.7500
0.7500 0.1250 0.3750
0.7500 0.6250 0.8750
0.8750 0.6250 0.2500
0.8750 0.7500 0.6250
0.0382 0.7559 0.6616
0.0382 0.7824 0.3766
0.0943 0.2559 0.2176
0.0943 0.3384 0.8766
0.1234 0.7176 0.4618
0.1234 0.9057 0.6616
0.1616 0.2559 0.5382
0.1616 0.4057 0.6234
0.2176 0.0943 0.2559
0.2176 0.6234 0.9618
0.2441 0.3384 0.9618
0.2441 0.4057 0.2824
0.2559 0.2176 0.0943
0.2559 0.5382 0.1616
0.2824 0.2441 0.4057
0.2824 0.5382 0.8766
0.3384 0.8766 0.0943
0.3384 0.9618 0.2441
0.3766 0.0382 0.7824
0.3766 0.8384 0.5943
0.4057 0.2824 0.2441
0.4057 0.6234 0.1616
0.4618 0.1234 0.7176
0.4618 0.8384 0.7441
0.5382 0.1616 0.2559
0.5382 0.8766 0.2824
0.5943 0.3766 0.8384
0.5943 0.7176 0.7559
0.6234 0.1616 0.4057
0.6234 0.9618 0.2176
0.6616 0.0382 0.7559
0.6616 0.1234 0.9057
0.7176 0.4618 0.1234
0.7176 0.7559 0.5943
0.7441 0.4618 0.8384
0.7441 0.7824 0.9057
0.7559 0.5943 0.7176
0.7559 0.6616 0.0382
0.7824 0.3766 0.0382
0.7824 0.9057 0.7441
0.8384 0.5943 0.3766
0.8384 0.7441 0.4618
0.8766 0.0943 0.3384
0.8766 0.2824 0.5382
0.9057 0.6616 0.1234
0.9057 0.7441 0.7824
0.9618 0.2176 0.6234
0.9618 0.2441 0.3384
0.0000 0.0000 0.0000
0.0000 0.0000 0.5000
0.0000 0.5000 0.0000
0.0000 0.5000 0.5000
0.1250 0.7500 0.8750
0.1250 0.8750 0.2500
0.2500 0.1250 0.8750
0.2500 0.6250 0.3750
0.3750 0.2500 0.6250
0.3750 0.6250 0.7500
0.5000 0.0000 0.0000
0.5000 0.0000 0.5000
0.5000 0.5000 0.0000
0.5000 0.5000 0.5000
0.6250 0.3750 0.2500
0.6250 0.7500 0.3750
0.7500 0.3750 0.6250
0.7500 0.8750 0.1250
0.8750 0.1250 0.7500
0.8750 0.2500 0.1250
```


(3)
Computed, not measured: an optimized crystal structure of CuSe6I2 at the GGA-PBE level of DFT.

POSCAR file:
```
CuSe6I2
1.0
4.5254 0.0000 0.0000
0.9121 7.9376 0.0000
0.4082 3.5410 7.5434
Cu Se I
1 6 2
direct
0.0000 0.0000 0.0000
0.0888 0.5167 0.7528
0.1427 0.7303 0.2741
0.1488 0.2281 0.4896
0.8512 0.7719 0.5104
0.8573 0.2697 0.7259
0.9112 0.4833 0.2472
0.4373 0.8449 0.8619
0.5627 0.1551 0.1381
```


(4)
Computed, not measured: an optimized crystal structure of Cu2Se2I at the GGA-PBE level of DFT.

POSCAR file:
```
Cu2Se2I
1.0
6.1167 0.0000 0.0000
2.2626 6.6142 0.0000
2.3030 2.6866 6.0460
Cu Se I
4 4 2
direct
0.0059 0.2411 0.2546
0.4082 0.6619 0.1737
0.5918 0.3381 0.8263
0.9941 0.7589 0.7454
0.0647 0.8491 0.3529
0.2439 0.5187 0.0133
0.7561 0.4813 0.9867
0.9353 0.1509 0.6471
0.4026 0.1753 0.6695
0.5974 0.8247 0.3305
```


(5)
Computed, not measured: an optimized crystal structure of Cu2Se2I at the GGA-PBE level of DFT.

POSCAR file:
```
Cu2Se2I
1.0
-2.3153 2.3153 5.9963
2.3153 -2.3153 5.9963
2.3153 2.3153 -5.9963
Cu Se I
2 2 1
direct
0.1874 0.1874 0.0000
0.8126 0.8126 0.0000
0.2500 0.7500 0.5000
0.7500 0.2500 0.5000
0.5000 0.5000 0.0000
```


(6)
Computed, not measured: an optimized crystal structure of CuSeI at the GGA-PBE level of DFT.

POSCAR file:
```
CuSeI
1.0
6.7203 0.0000 0.0000
0.0000 4.1692 0.0000
-3.1483 0.0000 6.6317
Cu Se I
2 2 2
direct
0.0980 0.2500 0.1666
0.9020 0.7500 0.8334
0.4780 0.2500 0.4039
0.5220 0.7500 0.5961
0.1282 0.2500 0.8133
0.8718 0.7500 0.1867
```


(7)
Computed, not measured: an optimized crystal structure of Cu2SeI2 at the GGA-PBE level of DFT.

POSCAR file:
```
Cu2SeI2
1.0
3.8625 0.0000 0.0000
1.5370 3.5446 0.0000
0.6713 0.3600 9.8833
Cu Se I
2 1 2
direct
0.0000 0.0000 0.0000
0.3573 0.3687 0.3055
0.5139 0.8490 0.1527
0.0560 0.9476 0.4577
0.4264 0.2930 0.8473
```


(8)
Computed, not measured: an optimized crystal structure of Cu12Se5I3 at the GGA-PBE level of DFT.

POSCAR file:
```
Cu12Se5I3
1.0
-7.4782 7.4782 7.4782
7.4782 -7.4782 7.4782
7.4782 7.4782 -7.4782
Cu Se I
48 20 12
direct
0.0262 0.2102 0.0865
0.0262 0.3159 0.9397
0.0603 0.5865 0.3762
0.0603 0.9738 0.6841
0.0865 0.0262 0.2102
0.0865 0.5603 0.8762
0.1238 0.7102 0.6841
0.1238 0.9135 0.4397
0.1841 0.2102 0.6238
0.1841 0.4738 0.5603
0.2102 0.0865 0.0262
0.2102 0.6238 0.1841
0.2898 0.3159 0.8762
0.2898 0.4738 0.4135
0.3159 0.8762 0.2898
0.3159 0.9397 0.0262
0.3762 0.0603 0.5865
0.3762 0.8159 0.7898
0.4135 0.2898 0.4738
0.4135 0.6238 0.9397
0.4397 0.1238 0.9135
0.4397 0.8159 0.5262
0.4738 0.4135 0.2898
0.4738 0.5603 0.1841
0.5262 0.4397 0.8159
0.5262 0.5865 0.7102
0.5603 0.1841 0.4738
0.5603 0.8762 0.0865
0.5865 0.3762 0.0603
0.5865 0.7102 0.5262
0.6238 0.1841 0.2102
0.6238 0.9397 0.4135
0.6841 0.0603 0.9738
0.6841 0.1238 0.7102
0.7102 0.5262 0.5865
0.7102 0.6841 0.1238
0.7898 0.3762 0.8159
0.7898 0.9135 0.9738
0.8159 0.5262 0.4397
0.8159 0.7898 0.3762
0.8762 0.0865 0.5603
0.8762 0.2898 0.3159
0.9135 0.4397 0.1238
0.9135 0.9738 0.7898
0.9397 0.0262 0.3159
0.9397 0.4135 0.6238
0.9738 0.6841 0.0603
0.9738 0.7898 0.9135
0.0000 0.0000 0.0000
0.0000 0.0000 0.5000
0.0000 0.5000 0.0000
0.0000 0.5000 0.5000
0.1250 0.7500 0.8750
0.1250 0.8750 0.2500
0.2500 0.1250 0.8750
0.2500 0.6250 0.3750
0.3750 0.2500 0.6250
0.3750 0.6250 0.7500
0.5000 0.0000 0.0000
0.5000 0.0000 0.5000
0.5000 0.5000 0.0000
0.5000 0.5000 0.5000
0.6250 0.3750 0.2500
0.6250 0.7500 0.3750
0.7500 0.3750 0.6250
0.7500 0.8750 0.1250
0.8750 0.1250 0.7500
0.8750 0.2500 0.1250
0.1250 0.2500 0.3750
0.1250 0.3750 0.7500
0.2500 0.3750 0.1250
0.2500 0.8750 0.6250
0.3750 0.1250 0.2500
0.3750 0.7500 0.1250
0.6250 0.2500 0.8750
0.6250 0.8750 0.7500
0.7500 0.1250 0.3750
0.7500 0.6250 0.8750
0.8750 0.6250 0.2500
0.8750 0.7500 0.6250
```


(9)
Computed, not measured: an optimized crystal structure of CuTe2SeI at the GGA-PBE level of DFT.

POSCAR file:
```
CuTe2SeI
1.0
5.5627 0.0000 0.0000
0.0000 5.5627 0.0000
0.0000 0.0000 5.4984
Cu Te Se I
1 2 1 1
direct
0.0000 0.0000 0.0000
0.0000 0.5000 0.5000
0.5000 0.0000 0.5000
0.5000 0.5000 0.5000
0.5000 0.5000 0.0000
```


(10)
Computed, not measured: an optimized crystal structure of CuTe2SeI at the GGA-PBE level of DFT.

POSCAR file:
```
CuTe2SeI
1.0
5.2452 0.0000 0.0000
0.0000 5.2452 0.0000
0.0000 0.0000 5.0684
Cu Te Se I
1 2 1 1
direct
0.0000 0.0000 0.0000
0.0000 0.5000 0.0000
0.5000 0.0000 0.0000
0.5000 0.5000 0.5000
0.0000 0.0000 0.5000
```


(11)
Computed, not measured: an optimized crystal structure of Cu4TeSeI2 at the GGA-PBE level of DFT.

POSCAR file:
```
Cu4TeSeI2
1.0
8.0577 0.0000 0.0000
0.0000 7.2631 0.0000
0.0000 0.0000 6.9863
Cu Te Se I
8 2 2 4
direct
0.0000 0.1336 0.0000
0.0000 0.8450 0.4803
0.2361 0.6819 0.0230
0.2639 0.3181 0.5230
0.5000 0.1550 0.9803
0.5000 0.8664 0.5000
0.7361 0.3181 0.5230
0.7639 0.6819 0.0230
0.0000 0.1596 0.6399
0.5000 0.8404 0.1399
0.0000 0.8379 0.1424
0.5000 0.1621 0.6424
0.2495 0.3351 0.1417
0.2505 0.6649 0.6417
0.7495 0.6649 0.6417
0.7505 0.3351 0.1417
```


(12)
Computed, not measured: an optimized crystal structure of Tl2CuSeI at the GGA-PBE level of DFT.

POSCAR file:
```
Tl2CuSeI
1.0
6.0391 0.0000 0.0000
0.0000 6.0391 0.0000
0.0000 0.0000 4.4391
Tl Cu Se I
2 1 1 1
direct
0.0000 0.5000 0.0000
0.5000 0.0000 0.0000
0.0000 0.0000 0.0000
0.0000 0.0000 0.5000
0.5000 0.5000 0.5000
```


no.,raw formation energy (meV per atom),mass density (g/cm³)
1,-6,5.4
2,152,3.9
3,-9,4.8
4,-62,5.6
5,166,5.3
6,-80,4.8
7,-60,5.6
8,72,6.1
9,785,5.1
10,523,6.2
11,-95,5.8
12,-257,7.0